V8Ga3H2 (PBE, relaxed); SG = No. 166
1.0
5.085 0.000 0.000
2.542 4.404 0.000
2.542 1.468 7.254
V Ga H
8 3 2
Cartesian
7.627 4.404 6.790
2.542 1.468 0.464
3.815 3.669 2.209
5.085 1.470 2.209
6.355 3.669 2.209
5.085 4.402 5.044
6.355 2.203 5.044
3.815 2.203 5.044
0.000 0.000 0.000
7.627 4.404 4.323
2.542 1.468 2.931
5.085 2.936 1.243
5.085 2.936 6.011

***

TcSbBr2 (PBE, relaxed); ΔE_f (raw) = 93 kJ per mole of atoms; SG = No. 123; E above lowest polymorph = 949.8 meV/atom
1.0
4.881 0.000 0.000
0.000 4.881 0.000
0.000 0.000 3.552
Sb Tc Br
1 1 2
Cartesian
2.441 0.000 1.776
0.000 2.441 1.776
0.000 0.000 0.000
2.441 2.441 0.000

***

Sc2U2S7 (PBE, relaxed); ΔE_f (raw) = -143 kJ per mole of atoms; SG = No. 227; E above lowest polymorph = 55.7 meV/atom
1.0
7.694 0.000 4.442
2.565 7.254 4.442
0.000 0.000 8.884
Sc U S
4 4 14
Cartesian
5.129 0.907 4.442
2.565 4.534 4.442
1.282 0.907 6.663
1.282 0.907 2.221
6.411 4.534 11.105
6.411 4.534 6.663
5.129 0.907 8.884
2.565 4.534 8.884
2.345 1.658 8.884
3.737 5.595 6.473
3.737 0.155 6.473
4.910 3.472 4.442
7.694 5.440 13.326
6.521 1.658 6.473
3.737 0.155 2.411
1.392 3.472 6.473
0.219 0.155 4.442
1.392 3.472 2.411
3.737 5.595 11.295
5.129 3.627 8.884
6.521 1.658 11.295
7.913 5.595 8.884

***

TaSi2Ru (PBE, relaxed); ΔE_f (raw) = -41 kJ per mole of atoms; SG = No. 44
1.0
-1.740 -2.081 -5.198
2.365 -4.027 -3.545
-2.024 1.600 5.264
Ru Si Ta
1 2 1
Cartesian
0.307 -2.554 -1.059
0.025 -0.248 -0.355
-1.706 -1.961 -2.429
0.286 -2.799 -4.006

***

Be2PtF (PBE, relaxed); ΔE_f (raw) = -141 kJ per mole of atoms; SG = No. 123; E above lowest polymorph = 0.0 meV/atom
1.0
2.775 0.000 0.000
0.000 2.775 0.000
0.000 0.000 5.891
Be Pt F
2 1 1
Cartesian
0.000 0.000 4.493
0.000 0.000 1.398
1.388 1.388 0.000
0.000 0.000 2.945

***

PmDy2CdPd4 (PBE, relaxed); SG = No. 166; energy of formation = -0.77 eV/atom
1.0
4.917 0.000 0.000
2.458 4.258 0.000
2.458 1.419 8.025
Pm Dy Cd Pd
1 2 1 4
Cartesian
0.000 0.000 0.000
7.375 4.258 5.848
2.458 1.419 2.177
4.917 2.839 4.012
4.917 2.839 7.006
7.375 4.258 2.941
2.458 1.419 5.083
4.917 2.839 1.019

***

RbTa3Zn4O12 (PBE, relaxed); ΔE_f (raw) = -210 kJ per mole of atoms; SG = No. 155
1.0
7.004 -0.240 -0.333
-1.920 6.740 -0.333
-1.920 -2.455 6.286
Rb Ta Zn O
1 3 4 12
Cartesian
0.000 0.000 0.000
3.052 2.851 -0.333
2.032 -1.474 3.354
-1.920 2.668 2.598
5.531 -1.067 2.810
-2.368 1.042 5.739
1.582 6.092 -0.120
1.582 2.022 2.810
1.582 0.462 3.932
5.067 2.888 0.225
-1.904 4.748 2.810
1.582 -1.569 5.395
0.242 5.769 1.200
-0.731 0.067 5.851
5.540 0.623 1.921
2.922 4.737 -0.232
-2.377 2.420 4.419
3.894 -1.483 3.698
3.096 2.398 1.687
0.068 3.206 2.810

***

MgUOs2 (PBE, relaxed); SG = No. 123; energy of formation = -0.09 eV/atom
1.0
3.573 0.000 0.000
0.000 4.370 0.000
0.000 0.000 4.370
Os Mg U
2 1 1
Cartesian
0.000 0.000 2.185
0.000 2.185 0.000
1.787 0.000 0.000
1.787 2.185 2.185

***

Li4TaCo (PBE, relaxed); SG = No. 216; energy of formation = 0.49 eV/atom
1.0
3.575 0.372 3.138
-0.127 3.372 3.373
-0.694 -1.214 4.562
Li Ta Co
4 1 1
Cartesian
2.849 1.132 5.725
0.672 0.324 6.451
0.961 2.662 5.845
1.026 0.943 4.125
2.065 1.898 8.305
0.000 0.000 0.000

***

Nb2SiIrOs (PBE, relaxed); ΔE_f (raw) = 76 kJ per mole of atoms; SG = No. 123
1.0
4.561 0.000 0.000
0.000 4.315 0.000
0.000 0.000 4.561
Nb Ir Os Si
2 1 1 1
Cartesian
0.000 0.000 2.281
2.281 0.000 0.000
2.281 2.158 2.281
0.000 2.158 0.000
0.000 0.000 0.000

***

CuRh2Cl (PBE, relaxed); ΔE_f (raw) = 47 kJ per mole of atoms; SG = No. 47; E above lowest polymorph = 301.9 meV/atom
1.0
-1.482 -2.346 -0.337
-0.353 -0.469 4.815
-3.689 2.337 -0.043
Rh Cu Cl
2 1 1
Cartesian
0.000 0.000 0.000
-0.917 -1.408 2.239
-2.021 0.934 2.386
-2.586 -0.004 -0.190

***

NaU2Te4 (PBE, relaxed); ΔE_f (raw) = -65 kJ per mole of atoms; SG = No. 10; E above lowest polymorph = 0.0 meV/atom
1.0
4.398 0.000 0.000
0.000 7.597 -0.139
0.000 0.107 7.824
Na U Te
1 2 4
Cartesian
0.000 0.053 3.912
2.199 3.798 -0.070
0.000 0.000 0.000
0.000 5.085 1.675
2.199 1.287 1.786
2.199 6.417 5.899
0.000 2.619 6.010

***

Going through the records in order, we get theoretical density values of 6325 7447 5295 9253 8495 9965 6369 15642 5786 11030 8547 6410 kg/m³.
Going through the records in order, we get total DFT energy (no corrections) values of -89.75 -14.00 -160.87 -33.66 -21.19 -41.80 -144.56 -35.69 -23.68 -41.71 -18.72 -41.18 eV for the cell shown.